The following is a DFT calculation (PBE) of crystalline Li4SiPd5 at its relaxed geometry.

Cell: 4.582 6.412 6.412 Å, 82.67 69.07 69.07°
Sites, in units of the cell vectors:
Pd1 0.800 0.377 0.000
Pd2 0.177 0.000 0.623
Pd3 0.177 0.623 0.000
Pd4 0.575 0.000 0.000
Pd5 0.800 0.000 0.377
Li1 0.172 0.303 0.303
Li2 0.474 0.303 0.697
Li3 0.474 0.697 0.303
Li4 0.777 0.697 0.697
Si1 0.086 0.000 0.000

Properties
- M_tot: 0.00 μB/f.u.
- Raw formation energy: -413.3 meV/atom
- DFT total energy: -4.32 eV/atom